[1]
Here is an optimized crystal structure of K2TbInS4 from Alexandria via LeMat-Bulk. Energies are from GGA-PBE.

Cell: 8.320 8.320 8.337 Å, 120.07 120.07 90.62°
Fractional positions:
K1 0.500 0.000 0.000
K2 0.500 0.000 0.500
K3 0.000 0.000 0.500
K4 0.500 0.500 0.000
Tb1 0.000 0.500 0.000
Tb2 0.000 0.500 0.500
In1 0.500 0.500 0.500
In2 0.000 0.000 0.000
S1 0.209 0.738 0.973
S2 0.762 0.291 0.527
S3 0.238 0.709 0.473
S4 0.791 0.262 0.027
S5 0.762 0.738 0.963
S6 0.762 0.738 0.537
S7 0.238 0.262 0.463
S8 0.238 0.262 0.037

Computed properties:
Total magnetization ... 0.00 μB/atom
Calculated volume ... 405 Å³ per cell
Symmetry ... Imma, No. 74
Electronic total energy ... -4.581 eV/atom



[2]
Here is an optimized crystal structure of La3PmEr2Se6 from Alexandria via LeMat-Bulk. Energies are from GGA-PBE.

Cell: 7.239 7.239 7.347 Å, 99.44 99.44 120.14°
Fractional positions:
La1 0.162 0.838 0.500
La2 0.838 0.162 0.500
La3 0.500 0.500 0.500
Pm1 0.000 0.000 0.000
Er1 0.333 0.667 0.000
Er2 0.667 0.333 0.000
Se1 0.922 0.580 0.767
Se2 0.734 0.734 0.229
Se3 0.078 0.420 0.233
Se4 0.580 0.922 0.767
Se5 0.266 0.266 0.771
Se6 0.420 0.078 0.233

Computed properties:
Total magnetization ... 0.00 μB/atom
Calculated volume ... 314 Å³ per cell
Symmetry ... C2/m, No. 12
Electronic total energy ... -6.009 eV/atom
DOS(E_F) ... 6.3 states/eV per cell



[3]
Here is an optimized crystal structure of Dy3Ho8Tm from Alexandria via LeMat-Bulk. Energies are from GGA-PBE.

Cell: 7.615 7.615 9.329 Å, 114.09 114.09 90.00°
Fractional positions:
Dy1 0.250 0.750 0.500
Dy2 0.500 0.500 0.000
Dy3 0.750 0.250 0.500
Ho1 0.875 0.374 0.249
Ho2 0.374 0.374 0.249
Ho3 0.125 0.125 0.751
Ho4 0.626 0.125 0.751
Ho5 0.374 0.875 0.249
Ho6 0.875 0.875 0.249
Ho7 0.626 0.626 0.751
Ho8 0.125 0.626 0.751
Tm1 0.000 0.000 0.000

Computed properties:
Total magnetization ... 0.00 μB/atom
Formation energy ... 0.728 eV/atom
Calculated volume ... 442 Å³ per cell
Symmetry ... I4/mmm, No. 139
DOS(E_F) ... 12.4 states/eV per cell



Q: What is the calculated volume in the first record?
A: 405 Å³ per cell



Copy entry 1 word for word.
Here is an optimized crystal structure of K2TbInS4 from Alexandria via LeMat-Bulk. Energies are from GGA-PBE.

Cell: 8.320 8.320 8.337 Å, 120.07 120.07 90.62°
Fractional positions:
K1 0.500 0.000 0.000
K2 0.500 0.000 0.500
K3 0.000 0.000 0.500
K4 0.500 0.500 0.000
Tb1 0.000 0.500 0.000
Tb2 0.000 0.500 0.500
In1 0.500 0.500 0.500
In2 0.000 0.000 0.000
S1 0.209 0.738 0.973
S2 0.762 0.291 0.527
S3 0.238 0.709 0.473
S4 0.791 0.262 0.027
S5 0.762 0.738 0.963
S6 0.762 0.738 0.537
S7 0.238 0.262 0.463
S8 0.238 0.262 0.037

Computed properties:
Total magnetization ... 0.00 μB/atom
Calculated volume ... 405 Å³ per cell
Symmetry ... Imma, No. 74
Electronic total energy ... -4.581 eV/atom



Q: Which of these has the highest calculated volume?
A: Dy3Ho8Tm



Q: What is the total magnetization in the third record?
A: 0.00 μB/atom